(1)
This record from the Alexandria database describes a geometry-optimized Pr2Y4Cd structure. The functional is GGA-PBE.

Properties
raw total energy = -5.20 eV per atom
formation enthalpy at 0 K = -0.01 eV/atom
D(E_F) = 20.826 states/eV per cell
space-group type = C2/m, No. 12

Cell: 17.237 3.632 8.263 Å, 90.00 117.46 90.00°
Fractional coordinates of all 14 atoms:
Pr 0.214 0.000 0.133
Pr 0.286 0.500 0.867
Pr 0.714 0.500 0.133
Pr 0.786 0.000 0.867
Y 0.058 0.500 0.736
Y 0.141 0.000 0.467
Y 0.359 0.500 0.533
Y 0.442 0.000 0.264
Y 0.558 0.000 0.736
Y 0.641 0.500 0.467
Y 0.859 0.000 0.533
Y 0.942 0.500 0.264
Cd 0.000 0.000 0.000
Cd 0.500 0.500 0.000

(2)
This record from the Alexandria database describes a geometry-optimized Pr3Y3Cd structure. The functional is GGA-PBE.

Properties
raw total energy = -4.99 eV per atom
formation enthalpy at 0 K = -0.04 eV/atom
D(E_F) = 22.208 states/eV per cell
space-group type = P6_3/m, No. 176

Cell: 9.616 9.616 5.659 Å, 90.00 90.00 120.00°
Fractional coordinates of all 14 atoms:
Pr 0.107 0.631 0.250
Pr 0.369 0.476 0.250
Pr 0.476 0.107 0.750
Pr 0.524 0.893 0.250
Pr 0.631 0.524 0.750
Pr 0.893 0.369 0.750
Y 0.058 0.821 0.750
Y 0.179 0.238 0.750
Y 0.238 0.058 0.250
Y 0.762 0.942 0.750
Y 0.821 0.762 0.250
Y 0.942 0.179 0.250
Cd 0.333 0.667 0.750
Cd 0.667 0.333 0.250

(3)
This record from the Alexandria database describes a geometry-optimized PrYCd5 structure. The functional is GGA-PBE.

Properties
raw total energy = -2.38 eV per atom
formation enthalpy at 0 K = -0.12 eV/atom
D(E_F) = 6.695 states/eV per cell
space-group type = Cmmm, No. 65

Cell: 6.595 6.612 8.824 Å, 90.00 90.00 90.00°
Fractional coordinates of all 14 atoms:
Pr 0.000 0.000 0.000
Pr 0.500 0.500 0.000
Y 0.000 0.500 0.500
Y 0.500 0.000 0.500
Cd 0.000 0.000 0.500
Cd 0.250 0.250 0.255
Cd 0.250 0.250 0.745
Cd 0.250 0.750 0.255
Cd 0.250 0.750 0.745
Cd 0.500 0.500 0.500
Cd 0.750 0.250 0.255
Cd 0.750 0.250 0.745
Cd 0.750 0.750 0.255
Cd 0.750 0.750 0.745

(4)
This record from the Alexandria database describes a geometry-optimized Pr3YCd structure. The functional is GGA-PBE.

Properties
raw total energy = -4.46 eV per atom
formation enthalpy at 0 K = -0.11 eV/atom
D(E_F) = 13.164 states/eV per cell
space-group type = C2/m, No. 12

Cell: 6.924 6.924 13.034 Å, 94.02 94.02 31.65°
Fractional coordinates of all 10 atoms:
Pr 0.039 0.039 0.190
Pr 0.145 0.145 0.445
Pr 0.364 0.364 0.024
Pr 0.636 0.636 0.976
Pr 0.855 0.855 0.555
Pr 0.961 0.961 0.810
Y 0.226 0.226 0.750
Y 0.774 0.774 0.250
Cd 0.439 0.439 0.370
Cd 0.561 0.561 0.630

(5)
This record from the Alexandria database describes a geometry-optimized Pr5YCd4 structure. The functional is GGA-PBE.

Properties
raw total energy = -3.64 eV per atom
formation enthalpy at 0 K = -0.24 eV/atom
D(E_F) = 13.142 states/eV per cell
space-group type = P4/mmm, No. 123

Cell: 3.840 3.840 20.644 Å, 90.00 90.00 90.00°
Fractional coordinates of all 10 atoms:
Pr 0.000 0.000 0.000
Pr 0.000 0.000 0.191
Pr 0.000 0.000 0.382
Pr 0.000 0.000 0.618
Pr 0.000 0.000 0.809
Y 0.500 0.500 0.500
Cd 0.500 0.500 0.096
Cd 0.500 0.500 0.288
Cd 0.500 0.500 0.712
Cd 0.500 0.500 0.904

(6)
This record from the Alexandria database describes a geometry-optimized PrY3Cd structure. The functional is GGA-PBE.

Properties
raw total energy = -5.14 eV per atom
formation enthalpy at 0 K = -0.12 eV/atom
D(E_F) = 14.265 states/eV per cell
space-group type = C2/m, No. 12

Cell: 15.125 15.125 5.612 Å, 91.32 91.32 13.92°
Fractional coordinates of all 10 atoms:
Pr 0.233 0.233 0.248
Pr 0.767 0.767 0.752
Y 0.158 0.158 0.739
Y 0.374 0.374 0.766
Y 0.450 0.450 0.282
Y 0.550 0.550 0.718
Y 0.626 0.626 0.234
Y 0.842 0.842 0.261
Cd 0.038 0.038 0.211
Cd 0.962 0.962 0.789

(7)
This record from the Alexandria database describes a geometry-optimized PrY6Cd structure. The functional is GGA-PBE.

Properties
raw total energy = -5.52 eV per atom
formation enthalpy at 0 K = 0.04 eV/atom
D(E_F) = 10.491 states/eV per cell
space-group type = R-3, No. 148

Cell: 6.364 6.364 6.364 Å, 95.00 95.00 95.00°
Fractional coordinates of all 8 atoms:
Pr 0.000 0.000 0.000
Y 0.053 0.542 0.261
Y 0.261 0.053 0.542
Y 0.458 0.739 0.947
Y 0.542 0.261 0.053
Y 0.739 0.947 0.458
Y 0.947 0.458 0.739
Cd 0.500 0.500 0.500

(8)
This record from the Alexandria database describes a geometry-optimized Pr2YCd5 structure. The functional is GGA-PBE.

Properties
raw total energy = -2.88 eV per atom
formation enthalpy at 0 K = -0.31 eV/atom
D(E_F) = 11.128 states/eV per cell
space-group type = I4/mmm, No. 139

Cell: 5.177 5.177 15.657 Å, 90.00 90.00 90.00°
Fractional coordinates of all 16 atoms:
Pr 0.000 0.000 0.237
Pr 0.000 0.000 0.763
Pr 0.500 0.500 0.263
Pr 0.500 0.500 0.737
Y 0.000 0.000 0.500
Y 0.500 0.500 0.000
Cd 0.000 0.000 0.000
Cd 0.000 0.500 0.114
Cd 0.000 0.500 0.386
Cd 0.000 0.500 0.614
Cd 0.000 0.500 0.886
Cd 0.500 0.000 0.114
Cd 0.500 0.000 0.386
Cd 0.500 0.000 0.614
Cd 0.500 0.000 0.886
Cd 0.500 0.500 0.500

(9)
This record from the Alexandria database describes a geometry-optimized Pr3Y2Cd2 structure. The functional is GGA-PBE.

Properties
raw total energy = -4.31 eV per atom
formation enthalpy at 0 K = -0.16 eV/atom
D(E_F) = 15.781 states/eV per cell
space-group type = C2/m, No. 12

Cell: 9.574 5.535 8.755 Å, 90.00 111.41 90.00°
Fractional coordinates of all 14 atoms:
Pr 0.000 0.000 0.000
Pr 0.159 0.000 0.476
Pr 0.341 0.500 0.524
Pr 0.500 0.500 0.000
Pr 0.659 0.500 0.476
Pr 0.841 0.000 0.524
Y 0.074 0.500 0.722
Y 0.426 0.000 0.278
Y 0.574 0.000 0.722
Y 0.926 0.500 0.278
Cd 0.210 0.500 0.131
Cd 0.290 0.000 0.869
Cd 0.710 0.000 0.131
Cd 0.790 0.500 0.869

(10)
This record from the Alexandria database describes a geometry-optimized PrYZnCd structure. The functional is GGA-PBE.

Properties
raw total energy = -3.67 eV per atom
formation enthalpy at 0 K = -0.31 eV/atom
D(E_F) = 19.177 states/eV per cell
space-group type = F-43m, No. 216

Cell: 7.487 7.487 7.487 Å, 90.00 90.00 90.00°
Fractional coordinates of all 16 atoms:
Pr 0.000 0.000 0.000
Pr 0.000 0.500 0.500
Pr 0.500 0.000 0.500
Pr 0.500 0.500 0.000
Y 0.000 0.000 0.500
Y 0.000 0.500 0.000
Y 0.500 0.000 0.000
Y 0.500 0.500 0.500
Zn 0.250 0.250 0.750
Zn 0.250 0.750 0.250
Zn 0.750 0.250 0.250
Zn 0.750 0.750 0.750
Cd 0.250 0.250 0.250
Cd 0.250 0.750 0.750
Cd 0.750 0.250 0.750
Cd 0.750 0.750 0.250

(11)
This record from the Alexandria database describes a geometry-optimized PrYZnCd structure. The functional is GGA-PBE.

Properties
raw total energy = -3.69 eV per atom
formation enthalpy at 0 K = -0.33 eV/atom
D(E_F) = 4.178 states/eV per cell
space-group type = P4mm, No. 99

Cell: 3.665 3.665 7.730 Å, 90.00 90.00 90.00°
Fractional coordinates of all 4 atoms:
Pr 0.000 0.000 0.000
Y 0.000 0.000 0.462
Zn 0.500 0.500 0.250
Cd 0.500 0.500 0.714

(12)
This record from the Alexandria database describes a geometry-optimized YbPrCd2 structure. The functional is GGA-PBE.

Properties
raw total energy = -2.41 eV per atom
formation enthalpy at 0 K = -0.38 eV/atom
D(E_F) = 66.753 states/eV per cell
space-group type = Fm-3m, No. 225

Cell: 7.675 7.675 7.675 Å, 90.00 90.00 90.00°
Fractional coordinates of all 16 atoms:
Yb 0.000 0.000 0.000
Yb 0.000 0.500 0.500
Yb 0.500 0.000 0.500
Yb 0.500 0.500 0.000
Pr 0.000 0.000 0.500
Pr 0.000 0.500 0.000
Pr 0.500 0.000 0.000
Pr 0.500 0.500 0.500
Cd 0.250 0.250 0.250
Cd 0.250 0.250 0.750
Cd 0.250 0.750 0.250
Cd 0.250 0.750 0.750
Cd 0.750 0.250 0.250
Cd 0.750 0.250 0.750
Cd 0.750 0.750 0.250
Cd 0.750 0.750 0.750

(13)
This record from the Alexandria database describes a geometry-optimized Pr2Zn10Cd structure. The functional is GGA-PBE.

Properties
raw total energy = -1.99 eV per atom
formation enthalpy at 0 K = -0.20 eV/atom
D(E_F) = 12.765 states/eV per cell
space-group type = P2_1/c, No. 14

Cell: 5.830 6.179 14.082 Å, 90.00 99.91 90.00°
Fractional coordinates of all 26 atoms:
Pr 0.076 0.136 0.138
Pr 0.076 0.364 0.638
Pr 0.924 0.636 0.362
Pr 0.924 0.864 0.862
Zn 0.129 0.166 0.416
Zn 0.129 0.334 0.916
Zn 0.244 0.638 0.207
Zn 0.244 0.862 0.707
Zn 0.287 0.627 0.032
Zn 0.287 0.873 0.532
Zn 0.400 0.150 0.819
Zn 0.400 0.350 0.319
Zn 0.405 0.612 0.848
Zn 0.405 0.888 0.348
Zn 0.595 0.112 0.652
Zn 0.595 0.388 0.152
Zn 0.600 0.650 0.681
Zn 0.600 0.850 0.181
Zn 0.713 0.127 0.468
Zn 0.713 0.373 0.968
Zn 0.756 0.138 0.293
Zn 0.756 0.362 0.793
Zn 0.871 0.666 0.084
Zn 0.871 0.834 0.584
Cd 0.500 0.000 0.000
Cd 0.500 0.500 0.500

(14)
This record from the Alexandria database describes a geometry-optimized Pr5Zn3Cd structure. The functional is GGA-PBE.

Properties
raw total energy = -3.36 eV per atom
formation enthalpy at 0 K = -0.18 eV/atom
D(E_F) = 20.140 states/eV per cell
space-group type = Cmcm, No. 63

Cell: 9.229 9.229 6.818 Å, 90.00 90.00 59.95°
Fractional coordinates of all 18 atoms:
Pr 0.167 0.167 0.000
Pr 0.167 0.167 0.500
Pr 0.193 0.807 0.750
Pr 0.194 0.500 0.250
Pr 0.500 0.194 0.750
Pr 0.500 0.806 0.250
Pr 0.806 0.500 0.750
Pr 0.807 0.193 0.250
Pr 0.833 0.833 0.000
Pr 0.833 0.833 0.500
Zn 0.144 0.500 0.750
Zn 0.144 0.856 0.250
Zn 0.500 0.144 0.250
Zn 0.500 0.856 0.750
Zn 0.856 0.144 0.750
Zn 0.856 0.500 0.250
Cd 0.500 0.500 0.000
Cd 0.500 0.500 0.500

(15)
This record from the Alexandria database describes a geometry-optimized Pr4ZnCd2 structure. The functional is GGA-PBE.

Properties
raw total energy = -3.32 eV per atom
formation enthalpy at 0 K = -0.15 eV/atom
D(E_F) = 10.614 states/eV per cell
space-group type = R-3m, No. 166

Cell: 9.207 9.207 9.207 Å, 33.98 33.98 33.98°
Fractional coordinates of all 7 atoms:
Pr 0.123 0.123 0.123
Pr 0.374 0.374 0.374
Pr 0.626 0.626 0.626
Pr 0.877 0.877 0.877
Zn 0.500 0.500 0.500
Cd 0.248 0.248 0.248
Cd 0.752 0.752 0.752

(16)
This record from the Alexandria database describes a geometry-optimized Pr2Zn2Cd structure. The functional is GGA-PBE.

Properties
raw total energy = -2.88 eV per atom
formation enthalpy at 0 K = -0.28 eV/atom
D(E_F) = 10.428 states/eV per cell
space-group type = C2/m, No. 12

Cell: 5.963 5.963 11.065 Å, 115.23 115.23 46.75°
Fractional coordinates of all 10 atoms:
Pr 0.018 0.018 0.329
Pr 0.197 0.197 0.106
Pr 0.803 0.803 0.894
Pr 0.982 0.982 0.671
Zn 0.369 0.369 0.437
Zn 0.484 0.484 0.109
Zn 0.516 0.516 0.891
Zn 0.631 0.631 0.563
Cd 0.271 0.271 0.648
Cd 0.729 0.729 0.352

(17)
This record from the Alexandria database describes a geometry-optimized PrZn2Cd3 structure. The functional is GGA-PBE.

Properties
raw total energy = -1.90 eV per atom
formation enthalpy at 0 K = -0.22 eV/atom
D(E_F) = 6.291 states/eV per cell
space-group type = C2/m, No. 12

Cell: 8.762 8.762 7.988 Å, 116.19 116.19 29.54°
Fractional coordinates of all 12 atoms:
Pr 0.143 0.143 0.068
Pr 0.857 0.857 0.932
Zn 0.212 0.212 0.738
Zn 0.484 0.484 0.837
Zn 0.516 0.516 0.163
Zn 0.788 0.788 0.262
Cd 0.043 0.043 0.378
Cd 0.315 0.315 0.553
Cd 0.385 0.385 0.272
Cd 0.615 0.615 0.728
Cd 0.685 0.685 0.447
Cd 0.957 0.957 0.622

(18)
This record from the Alexandria database describes a geometry-optimized Pr12ZnCd3 structure. The functional is GGA-PBE.

Properties
raw total energy = -3.93 eV per atom
formation enthalpy at 0 K = -0.10 eV/atom
D(E_F) = 23.279 states/eV per cell
space-group type = P4/mmm, No. 123

Cell: 5.003 5.003 19.972 Å, 90.00 90.00 90.00°
Fractional coordinates of all 16 atoms:
Pr 0.000 0.000 0.000
Pr 0.000 0.000 0.247
Pr 0.000 0.000 0.500
Pr 0.000 0.000 0.753
Pr 0.000 0.500 0.121
Pr 0.000 0.500 0.374
Pr 0.000 0.500 0.626
Pr 0.000 0.500 0.879
Pr 0.500 0.000 0.121
Pr 0.500 0.000 0.374
Pr 0.500 0.000 0.626
Pr 0.500 0.000 0.879
Zn 0.500 0.500 0.000
Cd 0.500 0.500 0.248
Cd 0.500 0.500 0.500
Cd 0.500 0.500 0.752

(19)
This record from the Alexandria database describes a geometry-optimized Pr2Zn6Cd structure. The functional is GGA-PBE.

Properties
raw total energy = -2.30 eV per atom
formation enthalpy at 0 K = -0.29 eV/atom
D(E_F) = 4.811 states/eV per cell
space-group type = P-3m1, No. 164

Cell: 5.953 5.953 5.950 Å, 90.00 90.00 120.00°
Fractional coordinates of all 9 atoms:
Pr 0.333 0.667 0.341
Pr 0.667 0.333 0.659
Zn 0.181 0.362 0.846
Zn 0.181 0.819 0.846
Zn 0.362 0.181 0.154
Zn 0.638 0.819 0.846
Zn 0.819 0.181 0.154
Zn 0.819 0.638 0.154
Cd 0.000 0.000 0.500

(20)
This record from the Alexandria database describes a geometry-optimized Pr2Zn9Cd structure. The functional is GGA-PBE.

Properties
raw total energy = -1.94 eV per atom
formation enthalpy at 0 K = -0.11 eV/atom
D(E_F) = 7.750 states/eV per cell
space-group type = R-3m, No. 166

Cell: 9.103 9.103 9.103 Å, 36.09 36.09 36.09°
Fractional coordinates of all 12 atoms:
Pr 0.140 0.140 0.140
Pr 0.860 0.860 0.860
Zn 0.078 0.583 0.583
Zn 0.335 0.335 0.335
Zn 0.417 0.417 0.922
Zn 0.417 0.922 0.417
Zn 0.500 0.500 0.500
Zn 0.583 0.078 0.583
Zn 0.583 0.583 0.078
Zn 0.665 0.665 0.665
Zn 0.922 0.417 0.417
Cd 0.000 0.000 0.000